Record 1
# ZrTl2Se | Alexandria | PBEsol | relaxed
data_ZrTl2Se
_cell_length_a 5.0494
_cell_length_b 5.0494
_cell_length_c 5.0494
_cell_angle_alpha 60.00
_cell_angle_beta 60.00
_cell_angle_gamma 60.00
_symmetry_space_group_name_H-M 'P 1'
_symmetry_Int_Tables_number 1
_symmetry_space_group_name_Hall 'P 1'
loop_
_atom_site_label
_atom_site_fract_x
_atom_site_fract_y
_atom_site_fract_z
Zr1 0.0000 0.0000 0.0000
Tl1 0.5000 0.5000 0.5000
Tl2 0.7500 0.7500 0.7500
Se1 0.2500 0.2500 0.2500
# - raw formation energy (meV per atom) = -7
# - energy above the lowest structure with this stoichiometry (meV/atom) = 160
# - space-group type = No. 216
# - DFT total energy (eV per atom) = -4.56



Record 2
# ZrTl2Se | Alexandria | PBEsol | relaxed
data_ZrTl2Se
_cell_length_a 6.1925
_cell_length_b 6.1925
_cell_length_c 3.6259
_cell_angle_alpha 105.77
_cell_angle_beta 105.77
_cell_angle_gamma 124.16
_symmetry_space_group_name_H-M 'P 1'
_symmetry_Int_Tables_number 1
_symmetry_space_group_name_Hall 'P 1'
loop_
_atom_site_label
_atom_site_fract_x
_atom_site_fract_y
_atom_site_fract_z
Zr1 0.0000 0.0000 0.0000
Tl1 0.0000 0.5000 0.5000
Tl2 0.5000 0.0000 0.5000
Se1 0.5000 0.5000 0.0000
# - raw formation energy (meV per atom) = -167
# - energy above the lowest structure with this stoichiometry (meV/atom) = 0
# - space-group type = No. 12
# - DFT total energy (eV per atom) = -4.72



For reference, theoretical density by record: 10.56, 10.26 g/cm3.